(1)
Material: BaNi2SnPt
Method: DFT, GGA-PBE
State: relaxed

a b c (Å): 4.9937 4.9937 4.9746
angles (deg): 90.00 90.00 90.00
Closest atoms and distances in Å follow each position.
Sites, in units of the cell vectors:
Ba1 0.0000 0.0000 0.0000  8 Ni 3.52, 4 Sn 3.53
Ni1 0.0000 0.5000 0.5000  2 Pt 2.50
Ni2 0.5000 0.0000 0.5000  2 Pt 2.50
Sn1 0.5000 0.5000 0.0000  2 Pt 2.49
Pt1 0.5000 0.5000 0.5000  2 Sn 2.49, 4 Ni 2.50

* magnetic moment: 0.34 μB/atom
* E_form: 162 meV/atom
* uncorrected energy: -4.544 eV per atom

=====

(2)
Material: BaNiSnPt3
Method: DFT, GGA-PBE
State: relaxed

a b c (Å): 7.4440 7.4440 6.0041
angles (deg): 90.00 90.00 123.57
Closest atoms and distances in Å follow each position.
Sites, in units of the cell vectors:
Ba1 0.2501 0.7499 0.7500  2 Pt 3.11, 1 Ni 3.33, 2 Sn 3.47
Ba2 0.7499 0.2501 0.2500  2 Pt 3.11, 1 Ni 3.33, 2 Sn 3.47
Ni1 0.0034 0.9966 0.2500  5 Pt 2.42-2.48
Ni2 0.9966 0.0034 0.7500  5 Pt 2.42-2.48
Sn1 0.3828 0.6172 0.2500  5 Pt 2.55-2.65
Sn2 0.6172 0.3828 0.7500  5 Pt 2.55-2.65
Pt1 0.1882 0.8118 0.2500  1 Ni 2.42, 1 Sn 2.55
Pt2 0.2801 0.2801 0.0000  2 Ni 2.48, 2 Sn 2.65
Pt3 0.2801 0.2801 0.5000  2 Ni 2.48, 2 Sn 2.65
Pt4 0.7199 0.7199 0.0000  2 Ni 2.48, 2 Sn 2.65
Pt5 0.7199 0.7199 0.5000  2 Ni 2.48, 2 Sn 2.65
Pt6 0.8118 0.1882 0.7500  1 Ni 2.42, 1 Sn 2.55

* magnetic moment: 0.00 μB/atom
* E_form: -321 meV/atom
* uncorrected energy: -5.293 eV per atom

=====

(3)
Material: BaPuNi10
Method: DFT, GGA-PBE
State: relaxed

a b c (Å): 3.9519 5.0337 8.7587
angles (deg): 90.00 90.00 90.00
Closest atoms and distances in Å follow each position.
Sites, in units of the cell vectors:
Ba1 0.0000 0.0000 0.0000  18 Ni 2.99-3.32
Pu1 0.0000 0.5000 0.5000  6 Ni 2.76-2.86
Ni1 0.0000 0.0000 0.3447  6 Ni 2.40-2.47
Ni2 0.0000 0.0000 0.6553  6 Ni 2.40-2.47
Ni3 0.0000 0.5000 0.1852  6 Ni 2.42-2.56
Ni4 0.0000 0.5000 0.8148  6 Ni 2.42-2.56
Ni5 0.5000 0.0000 0.5000  8 Ni 2.40-2.43
Ni6 0.5000 0.2593 0.2660  8 Ni 2.42-2.63
Ni7 0.5000 0.2593 0.7340  8 Ni 2.42-2.63
Ni8 0.5000 0.5000 0.0000  8 Ni 2.56-2.63
Ni9 0.5000 0.7407 0.2660  8 Ni 2.42-2.63
Ni10 0.5000 0.7407 0.7340  8 Ni 2.42-2.63

* magnetic moment: 0.07 μB/atom
* E_form: -46 meV/atom
* uncorrected energy: -6.218 eV per atom

=====

(4)
Material: BaPuNiS4
Method: DFT, GGA-PBE
State: relaxed

a b c (Å): 6.5640 5.8318 8.6074
angles (deg): 90.00 107.04 90.00
Closest atoms and distances in Å follow each position.
Sites, in units of the cell vectors:
Ba1 0.2372 0.2500 0.4372  8 S 3.14-3.30
Ba2 0.7628 0.7500 0.5628  8 S 3.14-3.30
Pu1 0.2465 0.2500 0.9437  6 S 2.70-2.87
Pu2 0.7535 0.7500 0.0563  6 S 2.70-2.87
Ni1 0.2699 0.7500 0.1709  4 S 2.18-2.25
Ni2 0.7301 0.2500 0.8291  4 S 2.18-2.25
S1 0.0670 0.7500 0.3415  1 Ni 2.25
S2 0.0751 0.7500 0.9178  1 Ni 2.18
S3 0.4830 0.5128 0.7812  1 Ni 2.18
S4 0.4830 0.9872 0.7812  1 Ni 2.18
S5 0.5170 0.0128 0.2188  1 Ni 2.18
S6 0.5170 0.4872 0.2188  1 Ni 2.18
S7 0.9249 0.2500 0.0822  1 Ni 2.18
S8 0.9330 0.2500 0.6585  1 Ni 2.25

* magnetic moment: 0.46 μB/atom
* uncorrected energy: -6.801 eV per atom
* uncorrected formation energy: -124.9 kJ/mol of atoms

=====

(5)
Material: Ba3PuNi2S6
Method: DFT, GGA-PBE
State: relaxed

a b c (Å): 7.2503 7.2503 8.0060
angles (deg): 90.00 90.00 120.00
Closest atoms and distances in Å follow each position.
Sites, in units of the cell vectors:
Ba1 0.0000 0.0000 0.0000  6 S 3.15
Ba2 0.3333 0.6667 0.6378  1 Ni 3.10, 3 S 3.46
Ba3 0.6667 0.3333 0.3622  1 Ni 3.10, 3 S 3.46
Pu1 0.0000 0.0000 0.5000  6 S 2.65
Ni1 0.3333 0.6667 0.2500  3 S 2.13
Ni2 0.6667 0.3333 0.7500  3 S 2.13
S1 0.1658 0.3316 0.2947  1 Ni 2.13
S2 0.1658 0.8342 0.2947  1 Ni 2.13
S3 0.3316 0.1658 0.7053  1 Ni 2.13
S4 0.6684 0.8342 0.2947  1 Ni 2.13
S5 0.8342 0.1658 0.7053  1 Ni 2.13
S6 0.8342 0.6684 0.7053  1 Ni 2.13

* magnetic moment: 0.16 μB/atom
* uncorrected energy: -5.996 eV per atom
* uncorrected formation energy: -124.8 kJ/mol of atoms

=====

(6)
Material: BaPu4Ni3S12
Method: DFT, GGA-PBE
State: relaxed

a b c (Å): 8.3475 8.3475 8.3475
angles (deg): 109.47 109.47 109.47
Closest atoms and distances in Å follow each position.
Sites, in units of the cell vectors:
Ba1 0.0000 0.0000 0.0000  12 S 3.48
Pu1 0.0000 0.0000 0.5000  6 S 2.68
Pu2 0.0000 0.5000 0.0000  6 S 2.68
Pu3 0.5000 0.0000 0.0000  6 S 2.68
Pu4 0.5000 0.5000 0.5000  6 S 2.68
Ni1 0.0000 0.5000 0.5000  4 S 2.24
Ni2 0.5000 0.0000 0.5000  4 S 2.24
Ni3 0.5000 0.5000 0.0000  4 S 2.24
S1 0.1547 0.3265 0.4812  1 Ni 2.24
S2 0.1547 0.6735 0.8283  1 Ni 2.24
S3 0.1717 0.8453 0.3265  1 Ni 2.24
S4 0.3265 0.1717 0.8453  1 Ni 2.24
S5 0.3265 0.4812 0.1547  1 Ni 2.24
S6 0.4812 0.1547 0.3265  1 Ni 2.24
S7 0.5188 0.8453 0.6735  1 Ni 2.24
S8 0.6735 0.5188 0.8453  1 Ni 2.24
S9 0.6735 0.8283 0.1547  1 Ni 2.24
S10 0.8283 0.1547 0.6735  1 Ni 2.24
S11 0.8453 0.3265 0.1717  1 Ni 2.24
S12 0.8453 0.6735 0.5188  1 Ni 2.24

* magnetic moment: 0.80 μB/atom
* uncorrected energy: -7.324 eV per atom
* uncorrected formation energy: -98.2 kJ/mol of atoms

=====

(7)
Material: BaPu4Ni3Se12
Method: DFT, GGA-PBE
State: relaxed

a b c (Å): 8.7978 8.7978 8.7978
angles (deg): 109.47 109.47 109.47
Closest atoms and distances in Å follow each position.
Sites, in units of the cell vectors:
Ba1 0.0000 0.0000 0.0000  12 Se 3.67
Pu1 0.0000 0.0000 0.5000  6 Se 2.82
Pu2 0.0000 0.5000 0.0000  6 Se 2.82
Pu3 0.5000 0.0000 0.0000  6 Se 2.82
Pu4 0.5000 0.5000 0.5000  6 Se 2.82
Ni1 0.0000 0.5000 0.5000  4 Se 2.37
Ni2 0.5000 0.0000 0.5000  4 Se 2.37
Ni3 0.5000 0.5000 0.0000  4 Se 2.37
Se1 0.1553 0.3261 0.4814  1 Ni 2.37
Se2 0.1553 0.6739 0.8291  1 Ni 2.37
Se3 0.1709 0.8447 0.3261  1 Ni 2.37
Se4 0.3261 0.1709 0.8447  1 Ni 2.37
Se5 0.3261 0.4814 0.1553  1 Ni 2.37
Se6 0.4814 0.1553 0.3261  1 Ni 2.37
Se7 0.5186 0.8447 0.6739  1 Ni 2.37
Se8 0.6739 0.5186 0.8447  1 Ni 2.37
Se9 0.6739 0.8291 0.1553  1 Ni 2.37
Se10 0.8291 0.1553 0.6739  1 Ni 2.37
Se11 0.8447 0.3261 0.1709  1 Ni 2.37
Se12 0.8447 0.6739 0.5186  1 Ni 2.37

* magnetic moment: 0.80 μB/atom
* uncorrected energy: -6.783 eV per atom
* uncorrected formation energy: -83.2 kJ/mol of atoms

=====

(8)
Material: BaPuNiSe3
Method: DFT, GGA-PBE
State: relaxed

a b c (Å): 7.3153 7.3153 10.6604
angles (deg): 90.00 90.00 146.92
Closest atoms and distances in Å follow each position.
Sites, in units of the cell vectors:
Ba1 0.2437 0.7563 0.7500  6 Se 3.28-3.34
Ba2 0.7563 0.2437 0.2500  6 Se 3.28-3.34
Pu1 0.5000 0.5000 0.0000  6 Se 2.81-2.88
Pu2 0.5000 0.5000 0.5000  6 Se 2.81-2.88
Ni1 0.0306 0.9694 0.2500  4 Se 2.42-2.46
Ni2 0.9694 0.0306 0.7500  4 Se 2.42-2.46
Se1 0.1329 0.8671 0.0669  1 Ni 2.42
Se2 0.1329 0.8671 0.4331  1 Ni 2.42
Se3 0.4368 0.5632 0.2500  2 Ni 2.46
Se4 0.5632 0.4368 0.7500  2 Ni 2.46
Se5 0.8671 0.1329 0.5669  1 Ni 2.42
Se6 0.8671 0.1329 0.9331  1 Ni 2.42

* magnetic moment: 0.67 μB/atom
* uncorrected energy: -6.787 eV per atom
* uncorrected formation energy: -132.4 kJ/mol of atoms

=====

(9)
Material: RbBaNi3
Method: DFT, GGA-PBE
State: relaxed

a b c (Å): 5.3667 5.3667 5.3667
angles (deg): 90.00 90.00 90.00
Closest atoms and distances in Å follow each position.
Sites, in units of the cell vectors:
Rb1 0.0000 0.0000 0.0000  12 Ni 3.79
Ba1 0.5000 0.5000 0.5000  6 Ni 2.68
Ni1 0.0000 0.5000 0.5000  2 Ba 2.68
Ni2 0.5000 0.0000 0.5000  2 Ba 2.68
Ni3 0.5000 0.5000 0.0000  2 Ba 2.68

* distance to the lowest polymorph of the same formula: 0.00 kcal/mol of atoms
* magnetic moment: 0.00 μB/atom
* E_form: 1443 meV/atom
* uncorrected energy: -2.604 eV per atom

=====

(10)
Material: RbBa2Ni2
Method: DFT, GGA-PBE
State: relaxed

a b c (Å): 8.8536 8.8536 4.5450
angles (deg): 90.00 90.00 90.00
Closest atoms and distances in Å follow each position.
Sites, in units of the cell vectors:
Rb1 0.0000 0.0000 0.0000  4 Ni 3.70, 8 Ba 4.04
Rb2 0.5000 0.5000 0.0000  4 Ni 3.70, 8 Ba 4.04
Ba1 0.1577 0.3423 0.5000  4 Ni 3.23
Ba2 0.3423 0.8423 0.5000  4 Ni 3.23
Ba3 0.6577 0.1577 0.5000  4 Ni 3.23
Ba4 0.8423 0.6577 0.5000  4 Ni 3.23
Ni1 0.0926 0.5926 0.0000  1 Ni 2.32
Ni2 0.4074 0.0926 0.0000  1 Ni 2.32
Ni3 0.5926 0.9074 0.0000  1 Ni 2.32
Ni4 0.9074 0.4074 0.0000  1 Ni 2.32

* magnetic moment: 0.07 μB/atom
* E_form: 259 meV/atom
* uncorrected energy: -3.016 eV per atom

=====

(11)
Material: Rb3BaNi
Method: DFT, GGA-PBE
State: relaxed

a b c (Å): 6.7345 6.7345 6.7345
angles (deg): 90.00 90.00 90.00
Closest atoms and distances in Å follow each position.
Sites, in units of the cell vectors:
Rb1 0.0000 0.0000 0.5000  2 Ni 3.37
Rb2 0.0000 0.5000 0.0000  2 Ni 3.37
Rb3 0.5000 0.0000 0.0000  2 Ni 3.37
Ba1 0.5000 0.5000 0.5000  12 Rb 4.76
Ni1 0.0000 0.0000 0.0000  6 Rb 3.37

* magnetic moment: 0.00 μB/atom
* E_form: 580 meV/atom
* uncorrected energy: -1.541 eV per atom

=====

(12)
Material: RbBaNi3
Method: DFT, GGA-PBE
State: relaxed

a b c (Å): 5.0958 5.0958 5.0958
angles (deg): 90.00 90.00 90.00
Closest atoms and distances in Å follow each position.
Sites, in units of the cell vectors:
Rb1 0.0000 0.0000 0.0000  6 Ni 2.55
Ba1 0.5000 0.5000 0.5000  12 Ni 3.60
Ni1 0.0000 0.0000 0.5000  2 Rb 2.55
Ni2 0.0000 0.5000 0.0000  2 Rb 2.55
Ni3 0.5000 0.0000 0.0000  2 Rb 2.55

* distance to the lowest polymorph of the same formula: 1.37 kcal/mol of atoms
* magnetic moment: 0.00 μB/atom
* E_form: 1503 meV/atom
* uncorrected energy: -2.544 eV per atom

=====

(13)
Material: RbBa2NiSb
Method: DFT, GGA-PBE
State: relaxed

a b c (Å): 6.4459 6.4459 4.7729
angles (deg): 90.00 90.00 90.00
Closest atoms and distances in Å follow each position.
Sites, in units of the cell vectors:
Rb1 0.0000 0.0000 0.0000  2 Ni 2.39
Ba1 0.0000 0.5000 0.0000  2 Rb 3.22
Ba2 0.5000 0.0000 0.0000  2 Rb 3.22
Ni1 0.0000 0.0000 0.5000  2 Rb 2.39
Sb1 0.5000 0.5000 0.5000  8 Ba 4.01

* magnetic moment: 0.00 μB/atom
* uncorrected energy: -2.290 eV per atom
* uncorrected formation energy: 63.0 kJ/mol of atoms

=====

(14)
Material: RbBa2NiTe
Method: DFT, GGA-PBE
State: relaxed

a b c (Å): 6.0434 6.0434 5.3923
angles (deg): 90.00 90.00 90.00
Closest atoms and distances in Å follow each position.
Sites, in units of the cell vectors:
Rb1 0.0000 0.0000 0.0000  8 Ba 4.05, 4 Te 4.27
Ba1 0.0000 0.5000 0.5000  2 Ni 3.02
Ba2 0.5000 0.0000 0.5000  2 Ni 3.02
Ni1 0.5000 0.5000 0.5000  2 Te 2.70
Te1 0.5000 0.5000 0.0000  2 Ni 2.70

* magnetic moment: 0.00 μB/atom
* uncorrected energy: -2.995 eV per atom
* uncorrected formation energy: -23.9 kJ/mol of atoms

=====

(15)
Material: Rb2BaTiNi
Method: DFT, GGA-PBE
State: relaxed

a b c (Å): 6.9418 6.9418 4.4785
angles (deg): 90.00 90.00 90.00
Closest atoms and distances in Å follow each position.
Sites, in units of the cell vectors:
Rb1 0.0000 0.5000 0.0000  2 Ti 3.47
Rb2 0.5000 0.0000 0.0000  2 Ti 3.47
Ba1 0.0000 0.0000 0.5000  8 Rb 4.13, 2 Ba 4.48
Ti1 0.5000 0.5000 0.0000  2 Ni 2.24
Ni1 0.5000 0.5000 0.5000  2 Ti 2.24

* magnetic moment: 0.22 μB/atom
* E_form: 874 meV/atom
* uncorrected energy: -2.632 eV per atom

=====

(16)
Material: RbBa2TlNi
Method: DFT, GGA-PBE
State: relaxed

a b c (Å): 6.2192 6.2192 5.2965
angles (deg): 90.00 90.00 90.00
Closest atoms and distances in Å follow each position.
Sites, in units of the cell vectors:
Rb1 0.0000 0.0000 0.0000  8 Ba 4.08, 4 Tl 4.40
Ba1 0.0000 0.5000 0.5000  2 Ni 3.11
Ba2 0.5000 0.0000 0.5000  2 Ni 3.11
Tl1 0.5000 0.5000 0.0000  2 Ni 2.65
Ni1 0.5000 0.5000 0.5000  2 Tl 2.65

* magnetic moment: 0.15 μB/atom
* E_form: 20 meV/atom
* uncorrected energy: -2.573 eV per atom

=====

(17)
Material: RbBa2ZnNi
Method: DFT, GGA-PBE
State: relaxed

a b c (Å): 6.1619 6.1619 5.0667
angles (deg): 90.00 90.00 90.00
Closest atoms and distances in Å follow each position.
Sites, in units of the cell vectors:
Rb1 0.0000 0.0000 0.0000  8 Ba 3.99, 4 Zn 4.36
Ba1 0.0000 0.5000 0.5000  2 Ni 3.08
Ba2 0.5000 0.0000 0.5000  2 Ni 3.08
Zn1 0.5000 0.5000 0.0000  2 Ni 2.53
Ni1 0.5000 0.5000 0.5000  2 Zn 2.53

* magnetic moment: 0.00 μB/atom
* E_form: 122 meV/atom
* uncorrected energy: -2.251 eV per atom

=====

(18)
Material: BaRe2Ni
Method: DFT, GGA-PBE
State: relaxed

a b c (Å): 5.2312 10.6467 2.7856
angles (deg): 90.00 90.00 90.00
Closest atoms and distances in Å follow each position.
Sites, in units of the cell vectors:
Ba1 0.0000 0.0000 0.0000  2 Ni 2.62, 2 Ba 2.79
Ba2 0.5000 0.5000 0.0000  2 Ni 2.62, 2 Ba 2.79
Re1 0.2500 0.2500 0.5000  4 Re 2.62-2.79
Re2 0.2500 0.7500 0.5000  4 Re 2.62-2.79
Re3 0.7500 0.2500 0.5000  4 Re 2.62-2.79
Re4 0.7500 0.7500 0.5000  4 Re 2.62-2.79
Ni1 0.0000 0.5000 0.0000  2 Ba 2.62, 2 Ni 2.79
Ni2 0.5000 0.0000 0.0000  2 Ba 2.62, 2 Ni 2.79

* distance to the lowest polymorph of the same formula: 22.88 kcal/mol of atoms
* magnetic moment: 0.09 μB/atom
* E_form: 1442 meV/atom
* uncorrected energy: -6.708 eV per atom

=====

(19)
Material: Ba2ReNi
Method: DFT, GGA-PBE
State: relaxed

a b c (Å): 7.7466 7.7466 7.7466
angles (deg): 90.00 90.00 90.00
Closest atoms and distances in Å follow each position.
Sites, in units of the cell vectors:
Ba1 0.2500 0.2500 0.2500  4 Re 3.35, 4 Ni 3.35
Ba2 0.2500 0.2500 0.7500  4 Re 3.35, 4 Ni 3.35
Ba3 0.2500 0.7500 0.2500  4 Re 3.35, 4 Ni 3.35
Ba4 0.2500 0.7500 0.7500  4 Re 3.35, 4 Ni 3.35
Ba5 0.7500 0.2500 0.2500  4 Re 3.35, 4 Ni 3.35
Ba6 0.7500 0.2500 0.7500  4 Re 3.35, 4 Ni 3.35
Ba7 0.7500 0.7500 0.2500  4 Re 3.35, 4 Ni 3.35
Ba8 0.7500 0.7500 0.7500  4 Re 3.35, 4 Ni 3.35
Re1 0.0000 0.0000 0.0000  8 Ba 3.35
Re2 0.0000 0.5000 0.5000  8 Ba 3.35
Re3 0.5000 0.0000 0.5000  8 Ba 3.35
Re4 0.5000 0.5000 0.0000  8 Ba 3.35
Ni1 0.0000 0.0000 0.5000  8 Ba 3.35
Ni2 0.0000 0.5000 0.0000  8 Ba 3.35
Ni3 0.5000 0.0000 0.0000  8 Ba 3.35
Ni4 0.5000 0.5000 0.5000  8 Ba 3.35

* distance to the lowest polymorph of the same formula: 13.53 kcal/mol of atoms
* magnetic moment: 0.76 μB/atom
* E_form: 1144 meV/atom
* uncorrected energy: -4.374 eV per atom

=====

(20)
Material: BaRe2Ni
Method: DFT, GGA-PBE
State: relaxed

a b c (Å): 2.8827 4.7244 5.5895
angles (deg): 90.00 90.00 90.00
Closest atoms and distances in Å follow each position.
Sites, in units of the cell vectors:
Ba1 0.0000 0.0000 0.0000  4 Ni 2.77, 2 Ba 2.88
Re1 0.0000 0.5000 0.5000  6 Re 2.77-2.88
Re2 0.5000 0.0000 0.5000  6 Re 2.77-2.88
Ni1 0.5000 0.5000 0.0000  4 Ba 2.77, 2 Ni 2.88

* distance to the lowest polymorph of the same formula: 17.54 kcal/mol of atoms
* magnetic moment: 0.00 μB/atom
* E_form: 1210 meV/atom
* uncorrected energy: -6.940 eV per atom